Here is AsWBr2F after structural relaxation from Alexandria. Energies are from PBE+U.

Cell lengths 5.4117, 5.4117, 3.9227 Å; angles 90.00, 90.00, 90.00 degrees
Last column: nearest neighbours and their distance in Å.
Space group P4/mmm (No. 123)
Unique sites:
As1 0.0000 0.0000 0.0000 x1  2 F 1.96
W1 0.5000 0.5000 0.0000 x1  8 Br 3.34
Br1 0.0000 0.5000 0.5000 x2  2 F 2.71
F1 0.0000 0.0000 0.5000 x1  2 As 1.96

Values from the calculation:
Crystal system   tetragonal
N(E_F)   3.12 states/eV per cell
Volume   115 Å³/cell
VASP energy   -2.61 eV/atom
ΔE to the lowest computed polymorph   0.496 eV per atom
Mass density   6.3 g/cm3